Record 1
Ca5Pb2Au2 | PBE-GGA | relaxed

a b c (Å): 7.7742 8.7475 9.0723
angles (deg): 118.82 90.00 90.00
With the nearest neighbours (Å) after each atom.
Sites, in units of the cell vectors:
Ca 0.0000 0.0000 0.0000  4 Au 3.08-3.44, 2 Pb 3.29
Ca 0.5000 0.5000 0.0000  4 Au 3.08-3.44, 2 Pb 3.29
Ca 0.8397 0.8111 0.2635  3 Au 3.12-3.39, 3 Pb 3.25-3.30
Ca 0.1603 0.4524 0.2635  3 Au 3.12-3.39, 3 Pb 3.25-3.30
Ca 0.3397 0.9524 0.2635  3 Au 3.12-3.39, 3 Pb 3.25-3.30
Ca 0.6603 0.3111 0.2635  3 Au 3.12-3.39, 3 Pb 3.25-3.30
Ca 0.1603 0.1889 0.7365  3 Au 3.12-3.39, 3 Pb 3.25-3.30
Ca 0.8397 0.5476 0.7365  3 Au 3.12-3.39, 3 Pb 3.25-3.30
Ca 0.6603 0.0476 0.7365  3 Au 3.12-3.39, 3 Pb 3.25-3.30
Ca 0.3397 0.6889 0.7365  3 Au 3.12-3.39, 3 Pb 3.25-3.30
Pb 0.0000 0.2072 0.4143  7 Ca 3.25-3.30
Pb 0.5000 0.7072 0.4143  7 Ca 3.25-3.30
Pb 0.0000 0.7928 0.5857  7 Ca 3.25-3.30
Pb 0.5000 0.2928 0.5857  7 Ca 3.25-3.30
Au 0.6297 0.8764 0.0000  1 Au 2.96, 5 Ca 3.08-3.17
Au 0.3703 0.1236 0.0000  1 Au 2.96, 5 Ca 3.08-3.17
Au 0.1297 0.6236 0.0000  1 Au 2.96, 5 Ca 3.08-3.17
Au 0.8703 0.3764 0.0000  1 Au 2.96, 5 Ca 3.08-3.17

Values from the calculation:
Energy of formation from the pure elements   -596 meV/atom
Density of states at the Fermi level   0.54 states/eV per atom
M_tot   0.0 μB/cell
Final energy   -3.260 eV per atom
Theoretical density   6.20 Mg/m³

=====

Record 2
CaPb2Au | PBE-GGA | relaxed

a b c (Å): 5.3115 5.3115 5.3115
angles (deg): 60.00 60.00 60.00
With the nearest neighbours (Å) after each atom.
Sites, in units of the cell vectors:
Pb 0.2500 0.2500 0.2500  4 Au 3.25, 4 Ca 3.25
Pb 0.7500 0.7500 0.7500  4 Au 3.25, 4 Ca 3.25
Ca 0.0000 0.0000 0.0000  8 Pb 3.25
Au 0.5000 0.5000 0.5000  8 Pb 3.25

Values from the calculation:
Energy of formation from the pure elements   -252 meV/atom
Density of states at the Fermi level   0.35 states/eV per atom
M_tot   0.0 μB/cell
Final energy   -3.426 eV per atom
Theoretical density   10.21 Mg/m³